A plane-wave DFT calculation with PBE-GGA was carried out for a relaxed CrReBr2 crystal.

The value obtained for the relative energy among the computed polymorphs is 258.0 meV per atom. The uncorrected formation energy is 0.45 eV/atom. For the electronic total energy, the calculation gives -5.905 eV per atom.

The structure belongs to space group P4mm (No. 99); the cell edges are 3.040, 3.040 and 8.856 Å and the angles 90.00°, 90.00° and 90.00°. The distinct sites, in fractional coordinates, are Cr at (0.000, 0.000, 0.000), Re at (0.500, 0.500, 0.179), Br at (0.000, 0.000, 0.381) and Br at (0.500, 0.500, 0.796).